NbPdSN2 | SCAN | PBEsol geometry Values from VASP.

Geometry as Quantum ESPRESSO input:
```
&SYSTEM
  ibrav = 0, nat = 5, ntyp = 4
/
ATOMIC_SPECIES
S 32.06 S.upf
N 14.01 N.upf
Nb 92.91 Nb.upf
Pd 106.42 Pd.upf
CELL_PARAMETERS angstrom
-3.785 0.717 0.004
-0.298 -1.591 3.495
0.763 4.018 1.895
ATOMIC_POSITIONS crystal
S 0.000 0.000 0.500
N 0.500 0.000 0.000
N 0.000 0.500 0.000
Nb 0.500 0.500 0.500
Pd 0.000 0.000 0.000
```

Properties
Uncorrected formation energy (meV/atom): 1149